(1)
First-principles (GGA-PBE) data for Li3LaN after structural relaxation, as listed in Alexandria via LeMat-Bulk.

Unit cell a=4.242 b=4.242 c=4.242 alpha=90.00 beta=90.00 gamma=90.00
Fractional positions:
N 0.000 0.000 0.000
Li 0.000 0.000 0.500
Li 0.000 0.500 0.000
Li 0.500 0.000 0.000
La 0.500 0.500 0.500

Crystal system   cubic
Total moment   0.000 μB per cell
Space group   Pm-3m, No. 221
Formation energy (no corrections)   0.1517 eV per atom
ΔE to the lowest computed polymorph   0.0000 eV per atom

***

(2)
First-principles (GGA-PBE) data for LiLaN after structural relaxation, as listed in Alexandria via LeMat-Bulk.

Unit cell a=3.765 b=3.765 c=9.322 alpha=78.35 beta=78.35 gamma=60.00
Fractional positions:
La 0.403 0.403 0.791
La 0.597 0.597 0.209
Li 0.148 0.148 0.557
Li 0.852 0.852 0.443
N 0.223 0.223 0.332
N 0.777 0.777 0.668

Crystal system   trigonal
Total moment   0.297 μB per cell
Space group   R-3m, No. 166
Formation energy (no corrections)   -0.7641 eV per atom

***

(3)
First-principles (GGA-PBE) data for LiLa8N4 after structural relaxation, as listed in Alexandria via LeMat-Bulk.

Unit cell a=7.780 b=7.780 c=7.780 alpha=60.00 beta=60.00 gamma=60.00
Each line ends with the local moment (μB).
Fractional positions:
La 0.138 0.138 0.138  0.07
La 0.606 0.182 0.606  0.05
La 0.138 0.138 0.587  0.07
La 0.606 0.606 0.606  0.05
La 0.182 0.606 0.606  0.05
La 0.587 0.138 0.138  0.07
La 0.606 0.606 0.182  0.05
La 0.138 0.587 0.138  0.07
N 0.370 0.370 0.370  0.01
N 0.370 0.370 0.891  0.01
N 0.891 0.370 0.370  0.01
N 0.370 0.891 0.370  0.01
Li 0.750 0.750 0.750  0.02

Crystal system   cubic
Total moment   1.653 μB per cell
Space group   F-43m, No. 216
Formation energy (no corrections)   -0.6903 eV per atom

***

(4)
First-principles (GGA-PBE) data for LiLaN after structural relaxation, as listed in Alexandria via LeMat-Bulk.

Unit cell a=3.740 b=3.740 c=8.311 alpha=90.00 beta=90.00 gamma=90.00
Fractional positions:
La 0.250 0.250 0.348
La 0.750 0.750 0.652
N 0.750 0.750 0.364
N 0.250 0.250 0.636
Li 0.250 0.250 0.890
Li 0.750 0.750 0.110

Crystal system   tetragonal
Total moment   0.000 μB per cell
Space group   P4/nmm, No. 129
Formation energy (no corrections)   -0.8934 eV per atom